ZnGeIO2 (PBE, relaxed); offset from the most stable computed form = 468.5 meV per atom; E_tot = -3.4005 eV per atom; uncorrected formation energy = 0.071 eV per atom; SG = P4/mmm, No. 123
1.0
4.074 0.000 0.000
0.000 4.074 0.000
0.000 0.000 5.573
Zn Ge I O
1 1 1 2
Direct
0.000 0.000 0.000
0.500 0.500 0.500
0.000 0.000 0.500
0.000 0.500 0.000
0.500 0.000 0.000


ZnGeIO2 (PBE, relaxed); offset from the most stable computed form = 0.0 meV per atom; E_tot = -3.8690 eV per atom; uncorrected formation energy = -0.397 eV per atom; SG = P4/mmm, No. 123
1.0
3.817 0.000 0.000
0.000 3.817 0.000
0.000 0.000 6.577
Zn Ge I O
1 1 1 2
Direct
0.000 0.000 0.000
0.500 0.500 0.500
0.500 0.500 0.000
0.000 0.500 0.500
0.500 0.000 0.500


ZnGeI2O (PBE, relaxed); offset from the most stable computed form = 77.6 meV per atom; E_tot = -2.8672 eV per atom; uncorrected formation energy = -0.077 eV per atom; SG = P4/mmm, No. 123
1.0
5.764 0.000 0.000
0.000 5.764 0.000
0.000 0.000 3.720
Zn Ge I O
1 1 2 1
Direct
0.000 0.000 0.000
0.500 0.500 0.500
0.000 0.500 0.000
0.500 0.000 0.000
0.000 0.000 0.500


ZnGeI2O (PBE, relaxed); offset from the most stable computed form = 0.0 meV per atom; E_tot = -2.9448 eV per atom; uncorrected formation energy = -0.155 eV per atom; SG = P4/mmm, No. 123
1.0
5.838 0.000 0.000
0.000 5.838 0.000
0.000 0.000 3.764
Zn Ge I O
1 1 2 1
Direct
0.000 0.000 0.000
0.500 0.500 0.500
0.000 0.500 0.500
0.500 0.000 0.500
0.500 0.500 0.000


ZrGeI2O (PBE, relaxed); offset from the most stable computed form = 678.9 meV per atom; E_tot = -4.3032 eV per atom; uncorrected formation energy = -0.058 eV per atom; SG = P4/mmm, No. 123
1.0
5.858 0.000 0.000
0.000 5.858 0.000
0.000 0.000 3.724
Zr Ge I O
1 1 2 1
Direct
0.000 0.000 0.000
0.500 0.500 0.500
0.000 0.500 0.500
0.500 0.000 0.500
0.500 0.500 0.000


ZrGeIO4 (PBE, relaxed); E_tot = -6.8733 eV per atom; uncorrected formation energy = -1.938 eV per atom; SG = C2/m, No. 12
1.0
5.785 -3.081 0.000
5.785 3.081 0.000
-1.587 0.000 6.434
Zr Ge I O
2 2 2 8
Direct
0.201 0.201 0.339
0.799 0.799 0.661
0.132 0.132 0.767
0.868 0.868 0.233
0.473 0.473 0.795
0.527 0.527 0.205
0.024 0.024 0.286
0.026 0.601 0.376
0.196 0.196 0.033
0.399 0.974 0.624
0.601 0.026 0.376
0.804 0.804 0.967
0.974 0.399 0.624
0.976 0.976 0.714


ZrGeI2O (PBE, relaxed); offset from the most stable computed form = 0.0 meV per atom; E_tot = -4.9821 eV per atom; uncorrected formation energy = -0.737 eV per atom; SG = P4/mmm, No. 123
1.0
5.914 0.000 0.000
0.000 5.914 0.000
0.000 0.000 4.007
Zr Ge I O
1 1 2 1
Direct
0.000 0.000 0.000
0.500 0.500 0.500
0.000 0.500 0.000
0.500 0.000 0.000
0.000 0.000 0.500


ZrGeI2O (PBE, relaxed); offset from the most stable computed form = 939.5 meV per atom; E_tot = -4.0426 eV per atom; uncorrected formation energy = 0.202 eV per atom; SG = P4/mmm, No. 123
1.0
5.898 0.000 0.000
0.000 5.898 0.000
0.000 0.000 3.667
Zr Ge I O
1 1 2 1
Direct
0.000 0.000 0.000
0.500 0.500 0.000
0.000 0.500 0.500
0.500 0.000 0.500
0.500 0.500 0.500


GeOs2I (PBE, relaxed); offset from the most stable computed form = 23.4 meV per atom; E_tot = -5.9505 eV per atom; uncorrected formation energy = 1.206 eV per atom; SG = I-42d, No. 122
1.0
-2.805 2.805 5.913
2.805 -2.805 5.913
2.805 2.805 -5.913
Ge Os I
2 4 2
Direct
0.000 0.000 0.000
0.750 0.250 0.500
0.102 0.625 0.977
0.375 0.352 0.477
0.648 0.125 0.023
0.875 0.898 0.523
0.250 0.750 0.500
0.500 0.500 0.000


Ge2OsI (PBE, relaxed); offset from the most stable computed form = 0.0 meV per atom; E_tot = -4.9983 eV per atom; uncorrected formation energy = 0.505 eV per atom; SG = I-42d, No. 122
1.0
-3.120 3.120 6.090
3.120 -3.120 6.090
3.120 3.120 -6.090
Ge Os I
4 2 2
Direct
0.016 0.625 0.891
0.375 0.266 0.391
0.734 0.125 0.109
0.875 0.984 0.609
0.000 0.000 0.000
0.750 0.250 0.500
0.250 0.750 0.500
0.500 0.500 0.000


GeOs3I (PBE, relaxed); offset from the most stable computed form = 747.1 meV per atom; E_tot = -5.1956 eV per atom; uncorrected formation energy = 2.776 eV per atom; SG = Pm-3m, No. 221
1.0
4.833 0.000 0.000
0.000 4.833 0.000
0.000 0.000 4.833
Ge Os I
1 3 1
Direct
0.000 0.000 0.000
0.000 0.500 0.500
0.500 0.000 0.500
0.500 0.500 0.000
0.500 0.500 0.500


GeOsI3 (PBE, relaxed); E_tot = -3.2452 eV per atom; uncorrected formation energy = 0.854 eV per atom; SG = Pm-3m, No. 221
1.0
5.370 0.000 0.000
0.000 5.370 0.000
0.000 0.000 5.370
Ge Os I
1 1 3
Direct
0.000 0.000 0.000
0.500 0.500 0.500
0.000 0.500 0.500
0.500 0.000 0.500
0.500 0.500 0.000